Computed, not measured: a geometry-optimized FeNiSnO4 structure at the PBE+U level of DFT.

a b c (Å): 6.170 6.187 6.187
angles (deg): 61.94 60.10 60.10
Site moments in Bohr magnetons follow the coordinates.
Fractional coordinates of all 14 atoms:
Fe 0.643 0.607 0.107  3.76
Fe 0.357 0.393 0.893  3.76
Ni 0.500 0.000 0.500  1.77
Ni 0.000 0.000 0.500  1.77
Sn 0.000 0.000 0.000  0.01
Sn 0.000 0.500 0.500  0.01
O 0.762 0.763 0.713  0.09
O 0.238 0.787 0.737  0.09
O 0.762 0.213 0.263  0.09
O 0.238 0.237 0.287  0.09
O 0.225 0.754 0.254  0.05
O 0.768 0.754 0.254  0.05
O 0.232 0.246 0.746  0.05
O 0.775 0.246 0.746  0.05

Computed properties:
E_tot ... -84.107 eV for the cell shown
ρ ... 5.82 Mg/m³